VASP calculation (PBE with a Hubbard U) on a geometry-optimized K2VBO4 structure.

Spin magnetization ... 4.0 Bohr magnetons per cell
Total DFT energy (no corrections) ... -6.37 eV/atom

Cell: 11.689 10.555 6.064 Å, 84.83 64.07 31.11°
Element x y z (fractional)
K: 0.051 0.051 0.699
K: 0.301 0.301 0.949
K: 0.699 0.699 0.051
K: 0.949 0.949 0.301
V: 0.125 0.125 0.125
V: 0.875 0.875 0.875
B: 0.375 0.375 0.375
B: 0.625 0.625 0.625
O: 0.066 0.603 0.529
O: 0.302 0.529 0.603
O: 0.397 0.934 0.698
O: 0.471 0.698 0.934
O: 0.529 0.302 0.066
O: 0.603 0.066 0.302
O: 0.698 0.471 0.397
O: 0.934 0.397 0.471

VASP calculation (PBE with a Hubbard U) on a geometry-optimized K2B2WO6 structure.

Density of states at the Fermi level ... 0.000 states/eV per atom
Spin magnetization ... 2.0 Bohr magnetons per cell
Total DFT energy (no corrections) ... -6.99 eV/atom

Cell: 5.270 5.270 6.665 Å, 112.78 112.78 60.92°
Element x y z (fractional)
K: 0.207 0.207 0.126
K: 0.793 0.793 0.874
B: 0.403 0.403 0.700
B: 0.597 0.597 0.300
W: 0.000 0.000 0.500
O: 0.249 0.249 0.698
O: 0.257 0.707 0.713
O: 0.293 0.743 0.287
O: 0.707 0.257 0.713
O: 0.743 0.293 0.287
O: 0.751 0.751 0.302

Record order is preserved below.
Mass density: 2.5 4.4 g cm⁻³